1.
This record from the Alexandria database describes a relaxed structure of Ga2FeRe. The functional is PBE.

Computed properties:
The crystal system is tetragonal. The value obtained for the total magnetization is 0.00 μB/atom. The value obtained for the calculated volume is 235 Å³ per cell. For the distance to the lowest polymorph of the same formula, the calculation gives 465 meV per atom. The calculation puts the total energy at -6.114 eV/atom.

a = 6.764 Å, b = 6.764 Å, c = 5.140 Å
α = 90.00°, β = 90.00°, γ = 90.00°
Space group I-42d (No. 122)
Asymmetric unit:
Ga: 0.226 0.250 0.125 [8 per cell]
Fe: 0.000 0.000 0.000 [4 per cell]
Re: 0.000 0.000 0.500 [4 per cell]

***

2.
This record from the Alexandria database describes a relaxed structure of YAl2Se. The functional is PBE.

Computed properties:
The crystal system is tetragonal. The value obtained for the total magnetization is 0.00 μB/atom. The value obtained for the calculated volume is 90 Å³ per cell. The calculation puts the total energy at -4.856 eV/atom. For the uncorrected formation energy, the calculation gives -1.99 eV per formula unit.

a = 3.946 Å, b = 3.946 Å, c = 5.781 Å
α = 90.00°, β = 90.00°, γ = 90.00°
Space group P4/mmm (No. 123)
Asymmetric unit:
Y: 0.000 0.000 0.000 [1 per cell]
Al: 0.000 0.500 0.500 [2 per cell]
Se: 0.500 0.500 0.000 [1 per cell]

***

3.
This record from the Alexandria database describes a relaxed structure of CaScS2Cl. The functional is PBE.

Computed properties:
The crystal system is tetragonal. The value obtained for the total magnetization is 0.00 μB/atom. The value obtained for the calculated volume is 132 Å³ per cell. For the distance to the lowest polymorph of the same formula, the calculation gives 916 meV per atom. The calculation puts the total energy at -4.475 eV/atom. For the uncorrected formation energy, the calculation gives -3.94 eV per formula unit.

a = 5.201 Å, b = 5.201 Å, c = 4.892 Å
α = 90.00°, β = 90.00°, γ = 90.00°
Space group P4/mmm (No. 123)
Asymmetric unit:
Ca: 0.000 0.000 0.000 [1 per cell]
Sc: 0.500 0.500 0.500 [1 per cell]
S: 0.000 0.500 0.000 [2 per cell]
Cl: 0.000 0.000 0.500 [1 per cell]

***

4.
This record from the Alexandria database describes a relaxed structure of TaHSe3. The functional is PBE.

Computed properties:
The crystal system is cubic. The value obtained for the total magnetization is 0.00 μB/atom. The value obtained for the calculated volume is 79 Å³ per cell. For the distance to the lowest polymorph of the same formula, the calculation gives 1150 meV per atom. The calculation puts the total energy at -4.298 eV/atom.

a = 4.294 Å, b = 4.294 Å, c = 4.294 Å
α = 90.00°, β = 90.00°, γ = 90.00°
Space group Pm-3m (No. 221)
Asymmetric unit:
Ta: 0.000 0.000 0.000 [1 per cell]
H: 0.500 0.500 0.500 [1 per cell]
Se: 0.000 0.500 0.500 [3 per cell]

***

5.
This record from the Alexandria database describes a relaxed structure of NaCdCo2Ge. The functional is PBE.

Computed properties:
The crystal system is tetragonal. The value obtained for the total magnetization is 0.72 μB/atom. The value obtained for the calculated volume is 123 Å³ per cell. The calculation puts the total energy at -3.012 eV/atom.

a = 4.954 Å, b = 4.954 Å, c = 5.021 Å
α = 90.00°, β = 90.00°, γ = 90.00°
Space group P4/mmm (No. 123)
Asymmetric unit:
Na: 0.000 0.000 0.000 [1 per cell]
Cd: 0.500 0.500 0.500 [1 per cell]
Co: 0.000 0.500 0.500 [2 per cell]
Ge: 0.500 0.500 0.000 [1 per cell]

***

6.
This record from the Alexandria database describes a relaxed structure of LaScNb2. The functional is PBE.

Computed properties:
The crystal system is cubic. The value obtained for the total magnetization is 0.00 μB/atom. The value obtained for the calculated volume is 356 Å³ per cell. For the distance to the lowest polymorph of the same formula, the calculation gives 0 meV per atom. The calculation puts the total energy at -7.348 eV/atom.

a = 7.088 Å, b = 7.088 Å, c = 7.088 Å
α = 90.00°, β = 90.00°, γ = 90.00°
Space group Fm-3m (No. 225)
Asymmetric unit:
La: 0.000 0.000 0.000 [4 per cell]
Sc: 0.000 0.000 0.500 [4 per cell]
Nb: 0.250 0.250 0.250 [8 per cell]

***

7.
This record from the Alexandria database describes a relaxed structure of TmIn4AgS8. The functional is PBE.

Computed properties:
The crystal system is trigonal. The value obtained for the total magnetization is 0.00 μB/atom. The value obtained for the calculated volume is 1006 Å³ per cell. The calculation puts the total energy at -4.433 eV/atom. For the uncorrected formation energy, the calculation gives -10.76 eV per formula unit.

a = 7.8042 Å, b = 7.8042 Å, c = 19.0755 Å
α = 90.00°, β = 90.00°, γ = 120.00°
Space group R3m (No. 160, hexagonal axes)
Asymmetric unit:
Tm: 0.0000 0.0000 0.0000 [3 per cell]
In: 0.0000 0.0000 0.3830 [3 per cell]
In: 0.0156 0.5078 0.5090 [9 per cell]
Ag: 0.0000 0.0000 0.6330 [3 per cell]
S: 0.0000 0.0000 0.2470 [3 per cell]
S: 0.0000 0.0000 0.7650 [3 per cell]
S: 0.0210 0.5105 0.7600 [9 per cell]
S: 0.1743 0.3486 0.5856 [9 per cell]

***

8.
This record from the Alexandria database describes a relaxed structure of LaReIr3. The functional is PBE.

Computed properties:
The crystal system is cubic. The value obtained for the total magnetization is 0.00 μB/atom. The value obtained for the calculated volume is 111 Å³ per cell. For the distance to the lowest polymorph of the same formula, the calculation gives 0 meV per atom. The calculation puts the total energy at -8.307 eV/atom.

a = 4.807 Å, b = 4.807 Å, c = 4.807 Å
α = 90.00°, β = 90.00°, γ = 90.00°
Space group Pm-3m (No. 221)
Asymmetric unit:
La: 0.000 0.000 0.000 [1 per cell]
Re: 0.500 0.500 0.500 [1 per cell]
Ir: 0.000 0.500 0.500 [3 per cell]

***

9.
This record from the Alexandria database describes a relaxed structure of HfTlAsBr2. The functional is PBE.

Computed properties:
The crystal system is tetragonal. The value obtained for the total magnetization is 0.00 μB/atom. The value obtained for the calculated volume is 152 Å³ per cell. For the distance to the lowest polymorph of the same formula, the calculation gives 0 meV per atom. The calculation puts the total energy at -4.644 eV/atom. For the uncorrected formation energy, the calculation gives -2.90 eV per formula unit.

a = 5.397 Å, b = 5.397 Å, c = 5.207 Å
α = 90.00°, β = 90.00°, γ = 90.00°
Space group P4/mmm (No. 123)
Asymmetric unit:
Hf: 0.000 0.000 0.000 [1 per cell]
Tl: 0.500 0.500 0.500 [1 per cell]
As: 0.000 0.000 0.500 [1 per cell]
Br: 0.000 0.500 0.000 [2 per cell]

***

10.
This record from the Alexandria database describes a relaxed structure of LiSbAs. The functional is PBE.

Computed properties:
The crystal system is triclinic. The value obtained for the total magnetization is 0.00 μB/atom. The value obtained for the calculated volume is 140 Å³ per cell. The calculation puts the total energy at -3.800 eV/atom. For the uncorrected formation energy, the calculation gives -0.71 eV per formula unit.

a = 4.713 Å, b = 5.177 Å, c = 6.081 Å
α = 73.96°, β = 87.50°, γ = 79.19°
Space group P-1 (No. 2)
Asymmetric unit:
Li: 0.214 0.219 0.016 [2 per cell]
Sb: 0.302 0.798 0.586 [2 per cell]
As: 0.303 0.653 0.195 [2 per cell]

***

11.
This record from the Alexandria database describes a relaxed structure of BaLi3La. The functional is PBE.

Computed properties:
The crystal system is cubic. The value obtained for the total magnetization is 0.33 μB/atom. The value obtained for the calculated volume is 174 Å³ per cell. For the distance to the lowest polymorph of the same formula, the calculation gives 89 meV per atom. The calculation puts the total energy at -1.784 eV/atom.

a = 5.587 Å, b = 5.587 Å, c = 5.587 Å
α = 90.00°, β = 90.00°, γ = 90.00°
Space group Pm-3m (No. 221)
Asymmetric unit:
Ba: 0.000 0.000 0.000 [1 per cell]
Li: 0.000 0.000 0.500 [3 per cell]
La: 0.500 0.500 0.500 [1 per cell]

***

12.
This record from the Alexandria database describes a relaxed structure of MgRe2Br. The functional is PBE.

Computed properties:
The crystal system is monoclinic. The value obtained for the total magnetization is 0.00 μB/atom. The value obtained for the calculated volume is 74 Å³ per cell. For the distance to the lowest polymorph of the same formula, the calculation gives 0 meV per atom. The calculation puts the total energy at -6.886 eV/atom. For the uncorrected formation energy, the calculation gives 0.62 eV per formula unit.

a = 3.119 Å, b = 3.090 Å, c = 7.850 Å
α = 90.00°, β = 101.02°, γ = 90.00°
Space group Pm (No. 6)
Asymmetric unit:
Mg: 0.000 0.000 0.000 [1 per cell]
Re: 0.382 0.500 0.756 [1 per cell]
Re: 0.796 0.000 0.579 [1 per cell]
Br: 0.652 0.500 0.285 [1 per cell]

***

13.
This record from the Alexandria database describes a relaxed structure of Li5Os. The functional is PBE.

Computed properties:
The crystal system is monoclinic. The value obtained for the total magnetization is 0.00 μB/atom. The value obtained for the calculated volume is 182 Å³ per cell. For the distance to the lowest polymorph of the same formula, the calculation gives 0 meV per atom. The calculation puts the total energy at -3.339 eV/atom.

a = 10.566 Å, b = 2.504 Å, c = 7.081 Å
α = 90.00°, β = 103.52°, γ = 90.00°
Space group Cm (No. 8)
Asymmetric unit:
Li: 0.000 0.000 0.000 [2 per cell]
Li: 0.073 0.000 0.599 [2 per cell]
Li: 0.179 0.500 0.302 [2 per cell]
Li: 0.256 0.500 0.970 [2 per cell]
Li: 0.346 0.000 0.622 [2 per cell]
Os: 0.414 0.000 0.287 [2 per cell]

***

14.
This record from the Alexandria database describes a relaxed structure of CrOs2Se. The functional is PBE.

Computed properties:
The crystal system is tetragonal. The value obtained for the total magnetization is 0.00 μB/atom. The value obtained for the calculated volume is 56 Å³ per cell. The calculation puts the total energy at -8.532 eV/atom. For the uncorrected formation energy, the calculation gives 1.44 eV per formula unit.

a = 2.887 Å, b = 2.887 Å, c = 6.682 Å
α = 90.00°, β = 90.00°, γ = 90.00°
Space group P4mm (No. 99)
Asymmetric unit:
Cr: 0.000 0.000 0.000 [1 per cell]
Os: 0.000 0.000 0.531 [1 per cell]
Os: 0.500 0.500 0.270 [1 per cell]
Se: 0.500 0.500 0.801 [1 per cell]